# 1
Compound: RhBr5
Source: Alexandria
Functional: PBE-GGA
Structure: optimized geometry

Calculated values
Uncorrected formation energy (kJ/mol of formula units): 346
Excess energy over the best structure of this formula in the dataset (meV per atom): 497.9

The structure in POSCAR format:
```
RhBr5
1.0
5.120 0.000 0.000
-2.560 4.434 0.000
0.000 0.000 7.719
Rh Br
1 5
direct
0.000 0.000 0.000
0.000 0.679 0.500
0.321 0.321 0.500
0.333 0.667 0.000
0.667 0.333 0.000
0.679 0.000 0.500
```

***

# 2
Compound: RhBr
Source: Alexandria
Functional: PBE-GGA
Structure: optimized geometry

Calculated values
Uncorrected formation energy (kJ/mol of formula units): 105

The structure in POSCAR format:
```
RhBr
1.0
0.000 2.873 2.873
2.873 0.000 2.873
2.873 2.873 0.000
Rh Br
1 1
direct
0.000 0.000 0.000
0.250 0.250 0.250
```

***

# 3
Compound: RhBr
Source: Alexandria
Functional: PBE-GGA
Structure: optimized geometry

Calculated values
Uncorrected formation energy (kJ/mol of formula units): 109

The structure in POSCAR format:
```
RhBr
1.0
3.269 0.000 0.000
-1.634 2.831 0.000
0.000 0.000 7.840
Rh Br
2 2
direct
0.333 0.667 0.250
0.667 0.333 0.750
0.000 0.000 0.000
0.000 0.000 0.500
```

***

# 4
Compound: RhBr
Source: Alexandria
Functional: PBE-GGA
Structure: optimized geometry

Calculated values
Uncorrected formation energy (kJ/mol of formula units): 54

The structure in POSCAR format:
```
RhBr
1.0
-5.170 5.170 1.942
5.170 -5.170 1.942
5.170 5.170 -1.942
Rh Br
4 4
direct
0.182 0.295 0.478
0.295 0.818 0.113
0.705 0.182 0.887
0.818 0.705 0.522
0.233 0.533 0.766
0.467 0.233 0.700
0.533 0.767 0.300
0.767 0.467 0.234
```

***

Number 1: total magnetic moment 1.59 μB per cell. Number 2: total magnetic moment 0.00 μB per cell. Number 3: total magnetic moment 0.71 μB per cell. Number 4: total magnetic moment 0.00 μB per cell.